No. 1
Compound: BaAl3
Source: the Alexandria database
Functional: meta-GGA SCAN
Structure: single point on PBEsol structure

a = 4.553 Å, b = 7.287 Å, c = 7.287 Å
α = 119.81°, β = 90.00°, γ = 90.00°
Positions (direct):
Ba1 0.750 0.666 0.334
Ba2 0.250 0.334 0.666
Al1 0.750 0.127 0.873
Al2 0.250 0.873 0.127
Al3 0.750 0.746 0.874
Al4 0.250 0.254 0.126
Al5 0.250 0.874 0.746
Al6 0.750 0.126 0.254

- Energy: -15.860 eV per atom



No. 2
Compound: Zn2NiTe
Source: the Alexandria database
Functional: meta-GGA SCAN
Structure: single point on PBEsol structure

a = 3.899 Å, b = 4.038 Å, c = 5.286 Å
α = 112.46°, β = 90.00°, γ = 90.00°
Positions (direct):
Ni1 0.000 0.093 0.187
Te1 0.500 0.942 0.884
Zn1 0.000 0.715 0.430
Zn2 0.500 0.250 0.499

- Energy: -20.134 eV per atom
- ΔE to the lowest computed polymorph: 0 meV per atom



No. 3
Compound: MgFeTe
Source: the Alexandria database
Functional: meta-GGA SCAN
Structure: single point on PBEsol structure

a = 4.515 Å, b = 4.515 Å, c = 4.515 Å
α = 60.00°, β = 60.00°, γ = 60.00°
Each line ends with the local moment (μB).
Positions (direct):
Fe1 0.500 0.500 0.500  2.65
Mg1 0.250 0.250 0.250  -0.03
Te1 0.000 0.000 0.000  0.01

- Energy: -19.711 eV per atom



No. 4
Compound: Cs2TlAuI6
Source: the Alexandria database
Functional: meta-GGA SCAN
Structure: single point on PBEsol structure

a = 8.340 Å, b = 8.340 Å, c = 8.340 Å
α = 60.00°, β = 60.00°, γ = 60.00°
Positions (direct):
Cs1 0.750 0.750 0.750
Cs2 0.250 0.250 0.250
I1 0.740 0.260 0.260
I2 0.740 0.740 0.260
I3 0.260 0.740 0.740
I4 0.740 0.260 0.740
I5 0.260 0.740 0.260
I6 0.260 0.260 0.740
Tl1 0.000 0.000 0.000
Au1 0.500 0.500 0.500

- Energy: -44.593 eV per atom



No. 5
Compound: CrRuN2
Source: the Alexandria database
Functional: meta-GGA SCAN
Structure: single point on PBEsol structure

a = 3.623 Å, b = 3.623 Å, c = 3.623 Å
α = 60.00°, β = 60.00°, γ = 60.00°
Positions (direct):
Ru1 0.500 0.500 0.500
N1 0.250 0.250 0.250
N2 0.750 0.750 0.750
Cr1 0.000 0.000 0.000

- Energy: -17.263 eV per atom



No. 6
Compound: Al2ReMo
Source: the Alexandria database
Functional: meta-GGA SCAN
Structure: single point on PBEsol structure

a = 2.696 Å, b = 5.001 Å, c = 5.001 Å
α = 114.71°, β = 99.66°, γ = 99.66°
Positions (direct):
Re1 0.500 0.500 0.500
Mo1 0.500 0.000 0.000
Al1 0.000 0.500 0.000
Al2 0.000 0.000 0.500

- Energy: -30.561 eV per atom
- ΔE to the lowest computed polymorph: 196 meV per atom



No. 7
Compound: YBeOs2
Source: the Alexandria database
Functional: meta-GGA SCAN
Structure: single point on PBEsol structure

a = 3.910 Å, b = 3.910 Å, c = 4.920 Å
α = 113.41°, β = 113.41°, γ = 90.00°
Positions (direct):
Y1 0.500 0.500 0.000
Be1 0.000 0.000 0.000
Os1 0.750 0.250 0.500
Os2 0.250 0.750 0.500

- Energy: -43.562 eV per atom



No. 8
Compound: NaLiB4O7
Source: the Alexandria database
Functional: meta-GGA SCAN
Structure: single point on PBEsol structure

a = 8.361 Å, b = 8.760 Å, c = 8.361 Å
α = 69.14°, β = 75.30°, γ = 110.86°
Positions (direct):
Na1 0.288 0.020 0.013
Na2 0.966 0.980 0.733
Na3 0.517 0.480 0.284
Na4 0.237 0.520 0.962
Li1 0.766 0.260 0.239
Li2 0.011 0.760 0.484
Li3 0.755 0.240 0.749
Li4 0.501 0.740 0.495
B1 0.714 0.948 0.111
B2 0.016 0.552 0.310
B3 0.139 0.448 0.536
B4 0.558 0.346 0.013
B5 0.641 0.654 0.789
B6 0.940 0.052 0.234
B7 0.030 0.259 0.382
B8 0.887 0.588 0.867
B9 0.545 0.412 0.700
B10 0.360 0.741 0.229
B11 0.021 0.241 0.890
B12 0.383 0.088 0.363
B13 0.868 0.759 0.220
B14 0.550 0.912 0.705
B15 0.461 0.154 0.609
B16 0.237 0.846 0.692
O1 0.075 0.212 0.036
O2 0.236 0.909 0.499
O3 0.570 0.309 0.851
O4 0.214 0.712 0.175
O5 0.991 0.390 0.275
O6 0.489 0.332 0.598
O7 0.975 0.890 0.259
O8 0.399 0.809 0.680
O9 0.136 0.403 0.721
O10 0.578 0.591 0.658
O11 0.743 0.000 0.257
O12 0.335 0.610 0.399
O13 0.993 0.500 0.507
O14 0.751 0.409 0.014
O15 0.751 0.788 0.137
O16 0.592 0.091 0.672
O17 0.265 0.000 0.735
O18 0.652 0.832 0.761
O19 0.070 0.668 0.843
O20 0.876 0.597 0.267
O21 0.983 0.097 0.374
O22 0.515 0.500 0.985
O23 0.851 0.110 0.915
O24 0.529 0.903 0.114
O25 0.113 0.288 0.499
O26 0.511 0.191 0.410
O27 0.407 0.168 0.180
O28 0.840 0.691 0.739

- Energy: -8.761 eV per atom



No. 9
Compound: RbY2Cr
Source: the Alexandria database
Functional: meta-GGA SCAN
Structure: single point on PBEsol structure

a = 5.453 Å, b = 5.453 Å, c = 5.453 Å
α = 60.00°, β = 60.00°, γ = 60.00°
Each line ends with the local moment (μB).
Positions (direct):
Y1 0.250 0.250 0.250  -0.08
Y2 0.750 0.750 0.750  -0.08
Cr1 0.000 0.000 0.000  3.96
Rb1 0.500 0.500 0.500  -0.01

- Energy: -23.031 eV per atom



No. 10
Compound: Cd2InAg
Source: the Alexandria database
Functional: meta-GGA SCAN
Structure: single point on PBEsol structure

a = 3.069 Å, b = 3.069 Å, c = 8.643 Å
α = 90.00°, β = 90.00°, γ = 90.00°
Positions (direct):
In1 0.000 0.000 0.517
Ag1 0.500 0.500 0.758
Cd1 0.000 0.000 0.985
Cd2 0.500 0.500 0.240

- Energy: -31.367 eV per atom



No. 11
Compound: BaTiIr3
Source: the Alexandria database
Functional: meta-GGA SCAN
Structure: single point on PBEsol structure

a = 4.951 Å, b = 4.951 Å, c = 4.951 Å
α = 90.00°, β = 90.00°, γ = 90.00°
Each line ends with the local moment (μB).
Positions (direct):
Ir1 0.000 0.500 0.000  -0.32
Ir2 0.000 0.000 0.500  -0.32
Ir3 0.500 0.000 0.000  -0.32
Ba1 0.000 0.000 0.000  0.02
Ti1 0.500 0.500 0.500  1.59

- Energy: -50.986 eV per atom



No. 12
Compound: Li2CaPb2
Source: the Alexandria database
Functional: meta-GGA SCAN
Structure: single point on PBEsol structure

a = 3.403 Å, b = 8.242 Å, c = 8.242 Å
α = 90.00°, β = 90.00°, γ = 90.00°
Positions (direct):
Pb1 0.500 0.177 0.677
Pb2 0.500 0.677 0.823
Pb3 0.500 0.823 0.323
Pb4 0.500 0.323 0.177
Ca1 0.000 0.000 0.000
Ca2 0.000 0.500 0.500
Li1 0.000 0.383 0.883
Li2 0.000 0.883 0.617
Li3 0.000 0.617 0.117
Li4 0.000 0.117 0.383

- Energy: -33.722 eV per atom
- ΔE to the lowest computed polymorph: 0 meV per atom



No. 13
Compound: CuSbSe2
Source: the Alexandria database
Functional: meta-GGA SCAN
Structure: single point on PBEsol structure

a = 3.884 Å, b = 4.557 Å, c = 6.027 Å
α = 92.05°, β = 108.80°, γ = 90.00°
Positions (direct):
Sb1 0.789 0.123 0.578
Se1 0.013 0.226 0.026
Se2 0.263 0.705 0.525
Cu1 0.435 0.446 0.870

- Energy: -23.262 eV per atom